# BaInI5 (GGA-PBE, optimized geometry)
# Space-group type   C2/c, No. 15
# Energy relative to the elements, uncorrected   -0.99 eV per atom
# DOS(E_F)   0.00 states/eV per cell
# Spin magnetization   0.01 μB per atom
data_BaInI5
_space_group_name_H-M_alt 'P 1'
_space_group_IT_number 1
_space_group_name_Hall 'P 1'
_cell_length_a 8.7303
_cell_length_b 8.7303
_cell_length_c 12.2935
_cell_angle_alpha 109.38
_cell_angle_beta 109.38
_cell_angle_gamma 87.70
loop_
_atom_site_label
_atom_site_type_symbol
_atom_site_fract_x
_atom_site_fract_y
_atom_site_fract_z
Ba1 Ba 0.0000 0.0000 0.0000
Ba2 Ba 0.0000 0.0000 0.5000
In1 In 0.4057 0.5943 0.7500
In2 In 0.5943 0.4057 0.2500
I1 I 0.1109 0.8891 0.2500
I2 I 0.2563 0.3641 0.1648
I3 I 0.2820 0.7014 0.5521
I4 I 0.2986 0.7180 0.9479
I5 I 0.3641 0.2563 0.6648
I6 I 0.6359 0.7437 0.3352
I7 I 0.7014 0.2820 0.0521
I8 I 0.7180 0.2986 0.4479
I9 I 0.7437 0.6359 0.8352
I10 I 0.8891 0.1109 0.7500